# KMg2Al GGA-PBE relaxed
# DFT total energy in eV per atom: -1.848
# Volume in Å³/cell: 113.8
# Crystal system: monoclinic
data_KMg2Al
_chemical_formula_sum 'K1 Mg2 Al1'
_cell_length_a 3.0694
_cell_length_b 4.4822
_cell_length_c 8.2755
_cell_angle_alpha 90.00
_cell_angle_beta 90.17
_cell_angle_gamma 90.00
_symmetry_space_group_name_H-M 'P 1 m 1'
_symmetry_Int_Tables_number 6
loop_
_symmetry_equiv_pos_as_xyz
'x,y,z'
'x,-y,z'
loop_
_atom_site_label
_atom_site_type_symbol
_atom_site_fract_x
_atom_site_fract_y
_atom_site_fract_z
_atom_site_occupancy
K1 K 0.0000 0.0000 0.0000 1
Mg1 Mg 0.4922 0.5000 0.3371 1
Mg2 Mg 0.9892 0.0000 0.5411 1
Al1 Al 0.4926 0.5000 0.6959 1